# AgGeF2

AgGeF2 after structural relaxation (PBE-GGA, the Alexandria database).

Calculated values
For the density of states at the Fermi level, the calculation gives 6.15 states/eV per cell. Its calculated volume is 15.9 Å³/atom. The calculation puts the formation energy (no corrections) at -3.88 eV per formula unit.

Structure (POSCAR):
```
AgGeF2
1.0
4.143 0.000 0.000
0.000 4.143 0.000
2.071 2.071 7.424
Ge F Ag
2 4 2
direct
0.250 0.750 0.500 Ge
0.500 0.500 0.000 Ge
0.159 0.625 0.250 F
0.591 0.125 0.250 F
0.875 0.841 0.750 F
0.375 0.409 0.750 F
0.750 0.250 0.500 Ag
0.000 0.000 0.000 Ag
```